# HoEr6Cd2 (PBE-GGA, relaxed)
# total magnetization: 0.00 μB per formula unit
# formation energy: -0.125 eV/atom
data_HoEr6Cd2
_symmetry_space_group_name_H-M 'C 1 2/m 1'
_symmetry_Int_Tables_number 12
_cell_length_a 12.492
_cell_length_b 3.700
_cell_length_c 11.752
_cell_angle_alpha 90.00
_cell_angle_beta 108.77
_cell_angle_gamma 90.00
loop_
_symmetry_equiv_pos_as_xyz
'x,y,z'
'-x,-y,-z'
'-x,y,-z'
'x,-y,z'
'x+1/2,y+1/2,z'
'-x+1/2,-y+1/2,-z'
'-x+1/2,y+1/2,-z'
'x+1/2,-y+1/2,z'
loop_
_atom_site_label
_atom_site_type_symbol
_atom_site_fract_x
_atom_site_fract_y
_atom_site_fract_z
Ho1 Ho 0.000 0.000 0.000
Er1 Er 0.015 0.000 0.339
Er2 Er 0.185 0.500 0.877
Er3 Er 0.187 0.500 0.583
Cd1 Cd 0.147 0.500 0.209